[1]
First-principles (GGA-PBE) data for a relaxed structure of CoOs2W, as listed in Alexandria.

```
CoOs2W
1.0
2.732 0.000 0.000
0.000 2.732 0.000
0.000 0.000 7.455
Co Os W
1 2 1
Cartesian
0.000 0.000 0.000 Co
1.366 1.366 1.734 Os
1.366 1.366 5.722 Os
0.000 0.000 3.728 W
```

The space group is P4/mmm, No. 123. The total magnetization is 0.58 Bohr magnetons per cell.

***

[2]
First-principles (GGA-PBE) data for a relaxed structure of CoOsW, as listed in Alexandria.

```
CoOsW
1.0
-1.358 1.898 4.040
1.358 -1.898 4.040
1.358 1.898 -4.040
Co Os W
1 1 1
Cartesian
0.000 0.000 0.000 Co
0.000 0.000 5.318 Os
0.000 0.000 2.677 W
```

The space group is Imm2, No. 44. The total magnetization is 1.27 Bohr magnetons per cell.

***

[3]
First-principles (GGA-PBE) data for a relaxed structure of CoOs2W, as listed in Alexandria.

```
CoOs2W
1.0
2.720 0.000 0.000
0.000 3.781 0.000
0.000 0.000 5.411
Co Os W
1 2 1
Cartesian
0.000 0.000 0.000 Co
0.000 0.000 2.620 Os
1.360 1.890 1.294 Os
1.360 1.890 4.121 W
```

The space group is Pmm2, No. 25. The total magnetization is 0.00 Bohr magnetons per cell.

***

[4]
First-principles (GGA-PBE) data for a relaxed structure of Co2OsW, as listed in Alexandria.

```
Co2OsW
1.0
-1.818 1.818 8.635
1.818 -1.818 8.635
1.818 1.818 -8.635
Co Os W
4 2 2
Cartesian
2.727 0.861 -2.159 Co
0.861 0.909 2.159 Co
-0.909 0.957 6.476 Co
0.957 0.909 10.794 Co
0.000 0.000 0.000 Os
0.000 1.818 4.317 Os
1.818 0.000 4.317 W
0.000 0.000 8.635 W
```

The space group is I-42d, No. 122. The total magnetization is 2.29 Bohr magnetons per cell.

***

Offset from the most stable computed form (computed, eV per atom): 0.179; 0.090; 0.084; 0.684
Raw total energy (computed, eV/atom): -10.447; -10.318; -10.542; -8.914